Crystalline MnAlOs2F at its relaxed geometry, computed with PBE with a Hubbard U.

Values from the calculation:
magnetic moment: 3.599 μB per cell
symmetry: P4/mmm (123)
final energy: -0.465 Ry per atom
crystal system: tetragonal

abc: 4.5908 4.5908 3.4886
angles: 90.00 90.00 90.00
With the nearest neighbours (Å) after each atom.
Element x y z (fractional)
Mn (0.0000, 0.0000, 0.0000)  8 Os 2.88
Al (0.5000, 0.5000, 0.0000)  2 F 1.74
Os (0.0000, 0.5000, 0.5000)  2 F 2.30
Os (0.5000, 0.0000, 0.5000)  2 F 2.30
F (0.5000, 0.5000, 0.5000)  2 Al 1.74